Record 1
Density functional theory data (PBE-GGA) for a geometry-optimized Pu2BiSb structure.

Cell and atoms, written as CIF:
```
data_Pu2BiSb
_cell_length_a 4.475
_cell_length_b 4.475
_cell_length_c 21.987
_cell_angle_alpha 90.00
_cell_angle_beta 90.00
_cell_angle_gamma 120.00
_symmetry_space_group_name_H-M 'P 1'
_symmetry_Int_Tables_number 1
_symmetry_space_group_name_Hall 'P 1'
loop_
_atom_site_label
_atom_site_type_symbol
_atom_site_fract_x
_atom_site_fract_y
_atom_site_fract_z
Pu1 Pu 0.000 0.000 0.247
Pu2 Pu 0.000 0.000 0.753
Pu3 Pu 0.333 0.667 0.419
Pu4 Pu 0.333 0.667 0.914
Pu5 Pu 0.667 0.333 0.086
Pu6 Pu 0.667 0.333 0.581
Bi1 Bi 0.000 0.000 0.000
Bi2 Bi 0.333 0.667 0.667
Bi3 Bi 0.667 0.333 0.333
Sb1 Sb 0.000 0.000 0.500
Sb2 Sb 0.333 0.667 0.167
Sb3 Sb 0.667 0.333 0.833
```

size of the total moment = 10.1 μB/f.u.
ρ = 10.697 g cm⁻³
SG = R-3m, No. 166
energy above the most stable polymorph in this dataset = 49 meV per atom
formation energy without anion corrections = -43.1 kJ per mole of atoms

***

Record 2
Density functional theory data (PBE-GGA) for a geometry-optimized Y3ZnSi2 structure.

Cell and atoms, written as CIF:
```
data_Y3ZnSi2
_cell_length_a 11.383
_cell_length_b 4.173
_cell_length_c 11.526
_cell_angle_alpha 90.00
_cell_angle_beta 90.00
_cell_angle_gamma 90.00
_symmetry_space_group_name_H-M 'P 1'
_symmetry_Int_Tables_number 1
_symmetry_space_group_name_Hall 'P 1'
loop_
_atom_site_label
_atom_site_type_symbol
_atom_site_fract_x
_atom_site_fract_y
_atom_site_fract_z
Y1 Y 0.057 0.250 0.122
Y2 Y 0.127 0.750 0.564
Y3 Y 0.202 0.250 0.803
Y4 Y 0.298 0.750 0.303
Y5 Y 0.373 0.250 0.064
Y6 Y 0.443 0.750 0.622
Y7 Y 0.557 0.250 0.378
Y8 Y 0.627 0.750 0.936
Y9 Y 0.702 0.250 0.697
Y10 Y 0.798 0.750 0.197
Y11 Y 0.873 0.250 0.436
Y12 Y 0.943 0.750 0.878
Zn1 Zn 0.136 0.250 0.364
Zn2 Zn 0.364 0.750 0.864
Zn3 Zn 0.636 0.250 0.136
Zn4 Zn 0.864 0.750 0.636
Si1 Si 0.023 0.750 0.319
Si2 Si 0.187 0.750 0.996
Si3 Si 0.313 0.250 0.496
Si4 Si 0.477 0.250 0.819
Si5 Si 0.523 0.750 0.181
Si6 Si 0.687 0.750 0.504
Si7 Si 0.813 0.250 0.004
Si8 Si 0.977 0.250 0.681
```

size of the total moment = 0.0 μB/f.u.
ρ = 4.710 g cm⁻³
SG = Pnma, No. 62
formation energy without anion corrections = -64.1 kJ per mole of atoms

***

Record 3
Density functional theory data (PBE-GGA) for a geometry-optimized NbFeCoCu structure.

Cell and atoms, written as CIF:
```
data_NbFeCoCu
_cell_length_a 5.885
_cell_length_b 5.885
_cell_length_c 5.885
_cell_angle_alpha 90.00
_cell_angle_beta 90.00
_cell_angle_gamma 90.00
_symmetry_space_group_name_H-M 'P 1'
_symmetry_Int_Tables_number 1
_symmetry_space_group_name_Hall 'P 1'
loop_
_atom_site_label
_atom_site_type_symbol
_atom_site_fract_x
_atom_site_fract_y
_atom_site_fract_z
Nb1 Nb 0.000 0.000 0.000
Nb2 Nb 0.000 0.500 0.500
Nb3 Nb 0.500 0.000 0.500
Nb4 Nb 0.500 0.500 0.000
Fe1 Fe 0.250 0.250 0.750
Fe2 Fe 0.250 0.750 0.250
Fe3 Fe 0.750 0.250 0.250
Fe4 Fe 0.750 0.750 0.750
Co1 Co 0.250 0.250 0.250
Co2 Co 0.250 0.750 0.750
Co3 Co 0.750 0.250 0.750
Co4 Co 0.750 0.750 0.250
Cu1 Cu 0.000 0.000 0.500
Cu2 Cu 0.000 0.500 0.000
Cu3 Cu 0.500 0.000 0.000
Cu4 Cu 0.500 0.500 0.500
```

size of the total moment = 1.0 μB/f.u.
ρ = 8.840 g cm⁻³
final energy = -7.38 eV per atom
SG = F-43m, No. 216

***

Record 4
Density functional theory data (PBE-GGA) for a geometry-optimized Pm2Nd4YMg structure.

Cell and atoms, written as CIF:
```
data_Pm2Nd4YMg
_cell_length_a 5.094
_cell_length_b 5.094
_cell_length_c 10.200
_cell_angle_alpha 90.00
_cell_angle_beta 90.00
_cell_angle_gamma 90.00
_symmetry_space_group_name_H-M 'P 1'
_symmetry_Int_Tables_number 1
_symmetry_space_group_name_Hall 'P 1'
loop_
_atom_site_label
_atom_site_type_symbol
_atom_site_fract_x
_atom_site_fract_y
_atom_site_fract_z
Pm1 Pm 0.000 0.000 0.000
Pm2 Pm 0.500 0.500 0.500
Nd1 Nd 0.000 0.500 0.247
Nd2 Nd 0.000 0.500 0.753
Nd3 Nd 0.500 0.000 0.247
Nd4 Nd 0.500 0.000 0.753
Y1 Y 0.000 0.000 0.500
Mg1 Mg 0.500 0.500 0.000
```

size of the total moment = 0.0 μB/f.u.
ρ = 6.149 g cm⁻³
final energy = -4.57 eV per atom
SG = P4/mmm, No. 123